Here is a relaxed structure of BiSb2Te2 from Alexandria via LeMat-Bulk. Energies are from GGA-PBEsol.

```
data_BiSb2Te2
_cell_length_a 8.648
_cell_length_b 8.648
_cell_length_c 3.909
_cell_angle_alpha 90.00
_cell_angle_beta 90.00
_cell_angle_gamma 90.00
_symmetry_space_group_name_H-M 'P 4/m b m'
_symmetry_Int_Tables_number 127
_symmetry_space_group_name_Hall '-P 4 2ab'
loop_
_atom_site_label
_atom_site_fract_x
_atom_site_fract_y
_atom_site_fract_z
Bi1 0.000 0.000 0.000
Sb1 0.172 0.328 0.000
Te1 0.148 0.648 0.500
```

Uncorrected formation energy: 0.078 eV/atom
ΔE to the lowest computed polymorph: 0.00 eV/f.u.
Crystal system: tetragonal